MnCdAu2 | PBE | relaxed

```
MnCdAu2
1.0
-8.0434 2.5705 -3.5541
-9.0297 0.5571 -1.4455
-8.4543 3.4714 -0.6399
Au Cd Mn
2 1 1
Cartesian
-0.1790 0.0463 -0.0396
-12.5846 3.2532 -2.7802
-6.3818 1.6497 -1.4099
-19.1455 4.9492 -4.2296
```

Computed properties:
The formation energy comes out at -10 meV per atom. As for the space group: R-3m.

=====

MnCd2Au | PBE | relaxed

```
MnCd2Au
1.0
9.8272 -0.0511 -0.0300
9.3709 2.9602 -0.0300
9.3709 1.4200 2.5976
Au Cd Mn
1 2 1
Cartesian
21.6259 3.2769 1.9209
0.1593 0.0241 0.0142
6.9095 1.0470 0.6137
14.1589 2.1455 1.2576
```

Computed properties:
The formation energy comes out at 110 meV per atom. As for the space group: R3m.